The following is a PBE calculation of a geometry-optimized CeHo2NpAs4 structure, from the Alexandria database.

* energy of formation: -10.29 eV/f.u.

Cell: 7.148 4.125 7.169 Å, 90.00 109.45 90.00°
Fractional coordinates of all 8 atoms:
Ce (0.000, 0.000, 0.000)
Ho (0.000, 0.500, 0.500)
Ho (0.500, 0.000, 0.500)
Np (0.500, 0.500, 0.000)
As (0.253, 0.000, 0.748)
As (0.254, 0.500, 0.254)
As (0.746, 0.500, 0.746)
As (0.747, 0.000, 0.252)